Run i
First-principles (GGA-PBE) data for a relaxed structure of CdFeCo, as listed in Alexandria via LeMat-Bulk.

a = 4.255 Å, b = 4.255 Å, c = 2.723 Å
α = 90.00°, β = 90.00°, γ = 120.00°
Last column: magnetic moment on the atom in μB.
Fractional positions:
Cd  0.000  0.000  0.002  -0.05
Co  0.667  0.333  0.416  1.56
Fe  0.333  0.667  0.583  2.64

The calculation puts the total magnetization at 4.1 μB per cell.


Run ii
First-principles (GGA-PBE) data for a relaxed structure of CdFeCo, as listed in Alexandria via LeMat-Bulk.

a = 4.137 Å, b = 4.137 Å, c = 4.137 Å
α = 60.00°, β = 60.00°, γ = 60.00°
Last column: magnetic moment on the atom in μB.
Fractional positions:
Cd  0.500  0.500  0.500  -0.04
Co  0.750  0.750  0.750  1.41
Fe  0.000  0.000  0.000  2.86

The calculation puts the total magnetization at 4.2 μB per cell.


Most stable to least stable, the ends of the list are run i and run ii.


Run i
First-principles (GGA-PBE) data for a relaxed structure of CdFeCo, as listed in Alexandria via LeMat-Bulk.

a = 5.301 Å, b = 5.301 Å, c = 5.301 Å
α = 147.31°, β = 147.31°, γ = 46.90°
Last column: magnetic moment on the atom in μB.
Fractional positions:
Fe  0.692  0.692  0.000  2.71
Cd  0.998  0.998  0.000  -0.05
Co  0.309  0.309  0.000  1.61

The calculation puts the total magnetization at 4.2 μB per cell.


Run ii
First-principles (GGA-PBE) data for a relaxed structure of CdFeCo, as listed in Alexandria via LeMat-Bulk.

a = 6.782 Å, b = 6.603 Å, c = 2.693 Å
α = 82.16°, β = 74.67°, γ = 23.17°
Last column: magnetic moment on the atom in μB.
Fractional positions:
Cd  0.999  0.999  0.001  -0.05
Fe  0.683  0.683  0.317  2.73
Co  0.319  0.319  0.681  1.72

The calculation puts the total magnetization at 4.3 μB per cell.


Run iii
First-principles (GGA-PBE) data for a relaxed structure of CdFeCo, as listed in Alexandria via LeMat-Bulk.

a = 4.159 Å, b = 2.944 Å, c = 10.004 Å
α = 90.01°, β = 90.00°, γ = 135.05°
Last column: magnetic moment on the atom in μB.
Fractional positions:
Fe  0.250  0.500  0.073  2.64
Fe  0.750  0.500  0.927  2.64
Co  0.250  0.500  0.805  1.48
Co  0.750  0.500  0.195  1.48
Cd  0.750  0.499  0.621  -0.04
Cd  0.250  0.501  0.379  -0.04

The calculation puts the total magnetization at 8.1 μB per cell.


Most stable to least stable, the ends of the list are run iii and run ii.


Run i
First-principles (GGA-PBE) data for a relaxed structure of Cd2FeCo2, as listed in Alexandria via LeMat-Bulk.

a = 6.033 Å, b = 6.033 Å, c = 4.237 Å
α = 90.00°, β = 90.00°, γ = 90.00°
Last column: magnetic moment on the atom in μB.
Fractional positions:
Cd  0.675  0.825  0.500  -0.05
Cd  0.325  0.175  0.500  -0.05
Cd  0.825  0.325  0.500  -0.05
Cd  0.175  0.675  0.500  -0.05
Fe  0.500  0.500  0.000  2.79
Fe  0.000  0.000  0.000  2.79
Co  0.369  0.869  0.000  1.21
Co  0.631  0.131  0.000  1.21
Co  0.131  0.369  0.000  1.19
Co  0.869  0.631  0.000  1.19

The calculation puts the total magnetization at 10.0 μB per cell.


Run ii
First-principles (GGA-PBE) data for a relaxed structure of Cd2FeCo2, as listed in Alexandria via LeMat-Bulk.

a = 6.652 Å, b = 6.652 Å, c = 6.652 Å
α = 147.09°, β = 147.09°, γ = 47.23°
Last column: magnetic moment on the atom in μB.
Fractional positions:
Fe  0.000  0.000  0.000  3.25
Co  0.414  0.414  0.000  1.74
Co  0.586  0.586  0.000  1.74
Cd  0.250  0.750  0.500  -0.01
Cd  0.750  0.250  0.500  -0.01

The calculation puts the total magnetization at 6.7 μB per cell.


Most stable to least stable, the ends of the list are run i and run ii.


Run i
First-principles (GGA-PBE) data for a relaxed structure of LaCdGa2Co, as listed in Alexandria via LeMat-Bulk.

a = 4.750 Å, b = 4.750 Å, c = 4.990 Å
α = 90.00°, β = 90.00°, γ = 90.00°
Fractional positions:
Ga  0.500  0.000  0.000
Ga  0.000  0.500  0.000
Cd  0.500  0.500  0.500
Co  0.000  0.000  0.000
La  0.000  0.000  0.500

The calculation puts the total magnetization at 0.0 μB per cell.


Run ii
First-principles (GGA-PBE) data for a relaxed structure of LaCdGa2Co, as listed in Alexandria via LeMat-Bulk.

a = 4.624 Å, b = 4.624 Å, c = 4.929 Å
α = 90.00°, β = 90.00°, γ = 90.00°
Fractional positions:
Cd  0.000  0.000  0.500
Co  0.000  0.000  0.000
Ga  0.500  0.000  0.000
Ga  0.000  0.500  0.000
La  0.500  0.500  0.500

The calculation puts the total magnetization at 0.0 μB per cell.


Most stable to least stable, the ends of the list are run ii and run i.